No. 1
# Nb8Zn

An optimized crystal structure of Nb8Zn (PBE-GGA, Alexandria via LeMat-Bulk).

- uncorrected energy (eV per cell) = -81.98
- symmetry = No. 139

Cell lengths 3.3866, 7.1098, 7.1098 Å; angles 86.75, 76.22, 76.22 degrees
Sites, in units of the cell vectors:
Nb 0.6643 0.0000 0.6713
Nb 0.3357 0.0000 0.3287
Nb 0.0000 0.3302 0.6698
Nb 0.3357 0.3287 0.0000
Nb 0.6698 0.3302 0.3302
Nb 0.6643 0.6713 0.0000
Nb 0.0000 0.6698 0.3302
Nb 0.3302 0.6698 0.6698
Zn 0.0000 0.0000 0.0000



No. 2
# LiTiNi14

An optimized crystal structure of LiTiNi14 (PBE-GGA, Alexandria via LeMat-Bulk).

- uncorrected energy (eV per cell) = -92.16
- symmetry = No. 123

Cell lengths 5.0049, 5.0049, 7.1194 Å; angles 90.00, 90.00, 90.00 degrees
Each line ends with the local moment (μB).
Sites, in units of the cell vectors:
Li 0.3750 0.3750 0.5000  -0.01
Ti 0.8750 0.8750 0.5000  -0.21
Ni 0.8750 0.8750 0.0000  0.81
Ni 0.3750 0.3750 0.0000  0.64
Ni 0.8750 0.3750 0.5000  0.40
Ni 0.8750 0.3750 0.0000  0.59
Ni 0.3750 0.8750 0.5000  0.40
Ni 0.3750 0.8750 0.0000  0.59
Ni 0.6240 0.1260 0.2451  0.54
Ni 0.6240 0.1260 0.7549  0.54
Ni 0.1260 0.6240 0.2451  0.54
Ni 0.1260 0.6240 0.7549  0.54
Ni 0.6240 0.6240 0.2451  0.54
Ni 0.6240 0.6240 0.7549  0.54
Ni 0.1260 0.1260 0.2451  0.54
Ni 0.1260 0.1260 0.7549  0.54



No. 3
# SrAc2As3Pd12

An optimized crystal structure of SrAc2As3Pd12 (PBE-GGA, Alexandria via LeMat-Bulk).

- uncorrected energy (eV per cell) = -93.85
- symmetry = No. 166

Cell lengths 7.1002, 7.1002, 7.1002 Å; angles 85.26, 85.26, 85.26 degrees
Sites, in units of the cell vectors:
Sr 0.0000 0.0000 0.0000
Ac 0.6623 0.6623 0.6623
Ac 0.3377 0.3377 0.3377
As 0.5000 0.0000 0.0000
As 0.0000 0.5000 0.0000
As 0.0000 0.0000 0.5000
Pd 0.3814 0.3814 0.9016
Pd 0.8115 0.8115 0.3175
Pd 0.3175 0.8115 0.8115
Pd 0.9016 0.3814 0.3814
Pd 0.8115 0.3175 0.8115
Pd 0.3814 0.9016 0.3814
Pd 0.6186 0.6186 0.0984
Pd 0.1885 0.1885 0.6825
Pd 0.6825 0.1885 0.1885
Pd 0.0984 0.6186 0.6186
Pd 0.1885 0.6825 0.1885
Pd 0.6186 0.0984 0.6186



No. 4
# RbSiPCl2

An optimized crystal structure of RbSiPCl2 (PBE-GGA, Alexandria via LeMat-Bulk).

- energy above the most stable polymorph in this dataset (eV/atom) = 1.3153
- E_form (uncorrected) (eV per formula unit) = 4.1
- uncorrected energy (eV per cell) = -11.36
- symmetry = No. 123

Cell lengths 5.9847, 5.9847, 6.2242 Å; angles 90.00, 90.00, 90.00 degrees
Each line ends with the local moment (μB).
Sites, in units of the cell vectors:
P 0.0000 0.0000 0.5000  1.12
Si 0.5000 0.5000 0.5000  -0.31
Rb 0.0000 0.0000 0.0000  0.04
Cl 0.0000 0.5000 0.0000  0.11
Cl 0.5000 0.0000 0.0000  0.11



No. 5
# ScNi2Ir2

An optimized crystal structure of ScNi2Ir2 (PBE-GGA, Alexandria via LeMat-Bulk).

- energy above the most stable polymorph in this dataset (eV/atom) = 0.0000
- uncorrected energy (eV per cell) = -73.76
- symmetry = No. 127

Cell lengths 7.1527, 7.1527, 2.7859 Å; angles 90.00, 90.00, 90.00 degrees
Sites, in units of the cell vectors:
Sc 0.0000 0.0000 0.0000
Sc 0.5000 0.5000 0.0000
Ni 0.3780 0.8780 0.0000
Ni 0.8780 0.6220 0.0000
Ni 0.6220 0.1220 0.0000
Ni 0.1220 0.3780 0.0000
Ir 0.1749 0.6749 0.5000
Ir 0.6749 0.8251 0.5000
Ir 0.8251 0.3251 0.5000
Ir 0.3251 0.1749 0.5000



No. 6
# SrCo2Mo

An optimized crystal structure of SrCo2Mo (PBE-GGA, Alexandria via LeMat-Bulk).

- uncorrected energy (eV per cell) = -24.25
- symmetry = No. 99

Cell lengths 3.1039, 3.1039, 7.3964 Å; angles 90.00, 90.00, 90.00 degrees
Each line ends with the local moment (μB).
Sites, in units of the cell vectors:
Co 0.0000 0.0000 0.0881  1.49
Co 0.5000 0.5000 0.2326  1.15
Mo 0.0000 0.0000 0.4125  -0.11
Sr 0.5000 0.5000 0.7668  -0.02



Copy entry 5 word for word.
# ScNi2Ir2

An optimized crystal structure of ScNi2Ir2 (PBE-GGA, Alexandria via LeMat-Bulk).

- energy above the most stable polymorph in this dataset (eV/atom) = 0.0000
- uncorrected energy (eV per cell) = -73.76
- symmetry = No. 127

Cell lengths 7.1527, 7.1527, 2.7859 Å; angles 90.00, 90.00, 90.00 degrees
Sites, in units of the cell vectors:
Sc 0.0000 0.0000 0.0000
Sc 0.5000 0.5000 0.0000
Ni 0.3780 0.8780 0.0000
Ni 0.8780 0.6220 0.0000
Ni 0.6220 0.1220 0.0000
Ni 0.1220 0.3780 0.0000
Ir 0.1749 0.6749 0.5000
Ir 0.6749 0.8251 0.5000
Ir 0.8251 0.3251 0.5000
Ir 0.3251 0.1749 0.5000



uncorrected energy of number 4 (RbSiPCl2)?
-11.36 eV per cell



uncorrected energy of number 4 (RbSiPCl2)?
-11.36 eV per cell



What did the first record say?
# Nb8Zn

An optimized crystal structure of Nb8Zn (PBE-GGA, Alexandria via LeMat-Bulk).

- uncorrected energy (eV per cell) = -81.98
- symmetry = No. 139

Cell lengths 3.3866, 7.1098, 7.1098 Å; angles 86.75, 76.22, 76.22 degrees
Sites, in units of the cell vectors:
Nb 0.6643 0.0000 0.6713
Nb 0.3357 0.0000 0.3287
Nb 0.0000 0.3302 0.6698
Nb 0.3357 0.3287 0.0000
Nb 0.6698 0.3302 0.3302
Nb 0.6643 0.6713 0.0000
Nb 0.0000 0.6698 0.3302
Nb 0.3302 0.6698 0.6698
Zn 0.0000 0.0000 0.0000